1.
Compound: Y2HoAg2
Source: Alexandria via LeMat-Bulk
Functional: PBE-GGA
Structure: optimized geometry

Lattice parameters (Å, degrees): 3.642 26.871 5.240 90.00 90.00 90.00
Space group Cmcm (No. 63)
One atom of each set of equivalent atoms:
Y 0.000 0.047 0.250 [4 per cell]
Y 0.000 0.234 0.250 [4 per cell]
Ho 0.000 0.145 0.750 [4 per cell]
Ag 0.000 0.358 0.750 [4 per cell]
Ag 0.000 0.452 0.250 [4 per cell]

Results
Distance to the lowest polymorph of the same formula   0 meV per atom

---

2.
Compound: AcGa4Cu2
Source: Alexandria via LeMat-Bulk
Functional: PBE-GGA
Structure: optimized geometry

Lattice parameters (Å, degrees): 17.307 4.273 7.139 90.00 90.00 90.00
Space group Pnma (No. 62)
One atom of each set of equivalent atoms:
Ac 0.118 0.250 0.008 [4 per cell]
Ga 0.037 0.750 0.727 [4 per cell]
Ga 0.092 0.250 0.504 [4 per cell]
Ga 0.189 0.750 0.326 [4 per cell]
Ga 0.198 0.750 0.707 [4 per cell]
Cu 0.039 0.750 0.325 [4 per cell]
Cu 0.234 0.250 0.523 [4 per cell]

Results
Distance to the lowest polymorph of the same formula   0 meV per atom

---

3.
Compound: SrPt5Pb
Source: Alexandria via LeMat-Bulk
Functional: PBE-GGA
Structure: optimized geometry

Lattice parameters (Å, degrees): 9.084 5.446 11.252 90.00 90.00 90.00
Space group Pnma (No. 62)
One atom of each set of equivalent atoms:
Sr 0.248 0.250 0.064 [4 per cell]
Pt 0.040 0.750 0.095 [4 per cell]
Pt 0.066 0.002 0.303 [8 per cell]
Pt 0.073 0.250 0.510 [4 per cell]
Pt 0.190 0.250 0.737 [4 per cell]
Pb 0.145 0.750 0.867 [4 per cell]

---

4.
Compound: PrSmTmZr
Source: Alexandria via LeMat-Bulk
Functional: PBE-GGA
Structure: optimized geometry

Lattice parameters (Å, degrees): 7.855 7.855 7.855 90.00 90.00 90.00
Space group F-43m (No. 216)
One atom of each set of equivalent atoms:
Pr 0.000 0.000 0.000 [4 per cell]
Sm 0.250 0.250 0.250 [4 per cell]
Tm 0.250 0.250 0.750 [4 per cell]
Zr 0.000 0.000 0.500 [4 per cell]

---

Number 1: total magnetic moment 0.00 μB/cell, DFT formation energy -0.24 eV per atom. Number 2: total magnetic moment 0.00 μB/cell, DFT formation energy -0.36 eV per atom. Number 3: total magnetic moment 0.00 μB/cell, DFT formation energy -0.42 eV per atom. Number 4: total magnetic moment 6.05 μB/cell, DFT formation energy 0.24 eV per atom.